Entry 1:
{
  "formula": "MnGaSiS",
  "functional": "PBE-GGA",
  "state": "optimized geometry",
  "crystal_system": "triclinic",
  "relative_energy_ev_per_atom": 0.099,
  "e_form_raw_ev_per_atom": -0.053,
  "cell": [[3.551, 0.000, 0.000], [1.771, 3.544, 0.000], [0.006, 0.056, 5.039]],
  "species": ["Mn", "Ga", "Si", "S"],
  "frac_coords": [[0.000, 0.000, 0.000], [0.988, 0.027, 0.496], [0.678, 0.646, 0.773], [0.311, 0.379, 0.122]]
}

=====

Entry 2:
{
  "formula": "Ti2Ga2Pd",
  "functional": "PBE-GGA",
  "state": "optimized geometry",
  "crystal_system": "orthorhombic",
  "formation_enthalpy_0k_ev_per_atom": -0.483,
  "relative_energy_ev_per_atom": 0.045,
  "cell": [[2.066, -7.146, 0.000], [2.066, 7.146, 0.000], [0.000, 0.000, 5.377]],
  "species": ["Ti", "Ti", "Ti", "Ti", "Ga", "Ga", "Ga", "Ga", "Pd", "Pd"],
  "frac_coords": [[0.006, 0.994, 0.500], [0.206, 0.794, 0.411], [0.794, 0.206, 0.911], [0.994, 0.006, 0.000], [0.181, 0.819, 0.905], [0.403, 0.597, 0.728], [0.597, 0.403, 0.228], [0.819, 0.181, 0.405], [0.404, 0.596, 0.225], [0.596, 0.404, 0.725]]
}

=====

Entry 3:
{
  "formula": "CrRu3W",
  "functional": "PBE-GGA",
  "state": "optimized geometry",
  "crystal_system": "cubic",
  "formation_enthalpy_0k_ev_per_atom": 2.008,
  "relative_energy_ev_per_atom": 0.572,
  "cell": [[4.637, 0.000, 0.000], [0.000, 4.637, 0.000], [0.000, 0.000, 4.637]],
  "species": ["Cr", "Ru", "Ru", "Ru", "W"],
  "frac_coords": [[0.000, 0.000, 0.000], [0.000, 0.500, 0.500], [0.500, 0.000, 0.500], [0.500, 0.500, 0.000], [0.500, 0.500, 0.500]]
}

=====

Entry 4:
{
  "formula": "Ac2La3Cd2",
  "functional": "PBE-GGA",
  "state": "optimized geometry",
  "crystal_system": "orthorhombic",
  "formation_enthalpy_0k_ev_per_atom": -0.110,
  "relative_energy_ev_per_atom": 0.009,
  "cell": [[1.958, -16.612, 0.000], [1.958, 16.612, 0.000], [0.000, 0.000, 3.885]],
  "species": ["Ac", "Ac", "La", "La", "La", "Cd", "Cd"],
  "frac_coords": [[0.198, 0.802, 0.000], [0.802, 0.198, 0.000], [0.075, 0.925, 0.000], [0.500, 0.500, 0.500], [0.925, 0.075, 0.000], [0.367, 0.633, 0.500], [0.633, 0.367, 0.500]]
}

=====

Entry 5:
{
  "formula": "Hf2Al6Ru",
  "functional": "PBE-GGA",
  "state": "optimized geometry",
  "crystal_system": "monoclinic",
  "formation_enthalpy_0k_ev_per_atom": -0.367,
  "cell": [[4.759, -2.747, 0.000], [4.759, 2.747, 0.000], [-0.016, 0.000, 5.892]],
  "species": ["Hf", "Hf", "Al", "Al", "Al", "Al", "Al", "Al", "Ru"],
  "frac_coords": [[0.166, 0.166, 0.392], [0.834, 0.834, 0.608], [0.156, 0.671, 0.184], [0.329, 0.329, 0.815], [0.329, 0.844, 0.816], [0.671, 0.156, 0.184], [0.671, 0.671, 0.185], [0.844, 0.329, 0.816], [0.500, 0.500, 0.500]]
}

=====

Entry 6:
{
  "formula": "KSr2Co",
  "functional": "PBE-GGA",
  "state": "optimized geometry",
  "crystal_system": "monoclinic",
  "formation_enthalpy_0k_ev_per_atom": 0.512,
  "relative_energy_ev_per_atom": 0.158,
  "cell": [[6.845, -2.065, 0.000], [6.845, 2.065, 0.000], [-3.879, 0.000, 6.182]],
  "species": ["K", "Sr", "Sr", "Co"],
  "frac_coords": [[0.000, 0.000, 0.000], [0.178, 0.178, 0.689], [0.354, 0.354, 0.340], [0.714, 0.714, 0.006]]
}

=====

no.,E (eV/f.u.)
1,-21.96
2,-29.45
3,-40.37
4,-25.60
5,-54.94
6,-9.52